[1]
Compound: TlAuSe2
Source: Alexandria via LeMat-Bulk
Functional: PBE
Structure: optimized geometry

Properties
For the final energy, the calculation gives -2.96 eV per atom.

Geometry as CIF:
```
data_TlAuSe2
_chemical_formula_sum 'Tl2 Au2 Se4'
_space_group_name_H-M_alt 'I 4/m m m'
_space_group_IT_number 139
_space_group_name_Hall '-I 4 2'
_cell_length_a 3.9457
_cell_length_b 3.9457
_cell_length_c 13.2462
_cell_angle_alpha 90.00
_cell_angle_beta 90.00
_cell_angle_gamma 90.00
loop_
_atom_site_label
_atom_site_type_symbol
_atom_site_fract_x
_atom_site_fract_y
_atom_site_fract_z
_atom_site_occupancy
Tl1 Tl 0.0000 0.0000 0.0000 1
Au1 Au 0.0000 0.0000 0.5000 1
Se1 Se 0.0000 0.5000 0.2500 1
```

[2]
Compound: Er5Co4Ni
Source: Alexandria via LeMat-Bulk
Functional: PBE
Structure: optimized geometry

Properties
For the calculated formation energy, the calculation gives -0.250 eV per atom.

Geometry as CIF:
```
data_Er5Co4Ni
_chemical_formula_sum 'Er5 Co4 Ni1'
_space_group_name_H-M_alt 'P 4/m m m'
_space_group_IT_number 123
_space_group_name_Hall '-P 4 2'
_cell_length_a 3.3187
_cell_length_b 3.3187
_cell_length_c 16.5443
_cell_angle_alpha 90.00
_cell_angle_beta 90.00
_cell_angle_gamma 90.00
loop_
_atom_site_label
_atom_site_type_symbol
_atom_site_fract_x
_atom_site_fract_y
_atom_site_fract_z
_atom_site_occupancy
Er1 Er 0.0000 0.0000 0.0000 1
Er2 Er 0.0000 0.0000 0.1986 1
Er3 Er 0.0000 0.0000 0.3977 1
Co1 Co 0.5000 0.5000 0.0998 1
Co2 Co 0.5000 0.5000 0.3008 1
Ni1 Ni 0.5000 0.5000 0.5000 1
```

[3]
Compound: TaHgW2
Source: Alexandria via LeMat-Bulk
Functional: PBE
Structure: optimized geometry

Properties
For the calculated formation energy, the calculation gives 0.601 eV per atom.

Geometry as CIF:
```
data_TaHgW2
_chemical_formula_sum 'Ta4 Hg4 W8'
_space_group_name_H-M_alt 'F -4 3 m'
_space_group_IT_number 216
_space_group_name_Hall 'F -4 2 3'
_cell_length_a 6.5566
_cell_length_b 6.5566
_cell_length_c 6.5566
_cell_angle_alpha 90.00
_cell_angle_beta 90.00
_cell_angle_gamma 90.00
loop_
_atom_site_label
_atom_site_type_symbol
_atom_site_fract_x
_atom_site_fract_y
_atom_site_fract_z
_atom_site_occupancy
Ta1 Ta 0.0000 0.0000 0.0000 1
Hg1 Hg 0.2500 0.2500 0.2500 1
W1 W 0.0000 0.0000 0.5000 1
W2 W 0.2500 0.2500 0.7500 1
```